Record 1
Density functional theory data (PBE) for a relaxed LiSb4Se crystal.

## Properties
Its mass density is 5.59 g cm⁻³. As for the total energy: -20.80 eV per cell. The space-group type is F-43m (216). The formation energy from raw total energies comes out at 0.182 eV/atom.

Structure (POSCAR):
```
LiSb4Se
1.0
0.000 4.400 4.400
4.400 0.000 4.400
4.400 4.400 0.000
Sb Li Se
4 1 1
direct
0.863 0.379 0.379 Sb
0.379 0.379 0.379 Sb
0.379 0.379 0.863 Sb
0.379 0.863 0.379 Sb
0.000 0.000 0.000 Li
0.750 0.750 0.750 Se
```


Record 2
Density functional theory data (PBE) for a relaxed Li2SbSe crystal.

## Properties
Its mass density is 4.45 g cm⁻³. As for the total energy: -13.56 eV per cell. The energy above the most stable polymorph in this dataset comes out at 0.092 eV/atom. The space-group type is I4/mmm (139). The formation energy from raw total energies comes out at -0.532 eV/atom.

Structure (POSCAR):
```
Li2SbSe
1.0
-3.489 -2.747 -2.665
-3.287 -1.949 3.496
1.602 4.877 -0.684
Sb Li Se
1 2 1
direct
0.250 0.750 0.500 Sb
0.500 0.500 0.000 Li
0.000 0.000 0.000 Li
0.750 0.250 0.500 Se
```


Record 3
Density functional theory data (PBE) for a relaxed Li2SbSe crystal.

## Properties
Its mass density is 4.45 g cm⁻³. As for the total energy: -13.81 eV per cell. The energy above the most stable polymorph in this dataset comes out at 0.030 eV/atom. The space-group type is P4/mmm (123). The formation energy from raw total energies comes out at -0.594 eV/atom.

Structure (POSCAR):
```
Li2SbSe
1.0
-2.740 1.614 -0.146
-1.494 -2.409 1.448
1.550 3.266 7.034
Li Se Sb
2 1 1
direct
0.000 0.000 0.950 Li
0.000 0.000 0.550 Li
0.500 0.500 0.750 Se
0.500 0.500 0.250 Sb
```


Record 4
Density functional theory data (PBE) for a relaxed Li2SbSe crystal.

## Properties
Its mass density is 4.40 g cm⁻³. As for the total energy: -13.51 eV per cell. The energy above the most stable polymorph in this dataset comes out at 0.106 eV/atom. The space-group type is Pmm2 (25). The formation energy from raw total energies comes out at -0.518 eV/atom.

Structure (POSCAR):
```
Li2SbSe
1.0
-2.403 -3.154 -3.491
-1.055 -1.602 2.174
-4.296 3.072 0.182
Sb Se Li
1 1 2
direct
0.000 0.625 0.374 Sb
0.500 0.625 0.874 Se
0.500 0.124 0.379 Li
0.000 0.125 0.874 Li
```


Record 5
Density functional theory data (PBE) for a relaxed Li2SbSe crystal.

## Properties
Its mass density is 4.32 g cm⁻³. As for the total energy: -13.51 eV per cell. The energy above the most stable polymorph in this dataset comes out at 0.105 eV/atom. The space-group type is R-3m (166). The formation energy from raw total energies comes out at -0.519 eV/atom.

Structure (POSCAR):
```
Li2SbSe
1.0
8.499 -0.026 -0.016
7.831 3.302 -0.016
7.831 1.571 2.905
Li Se Sb
2 1 1
direct
0.485 0.485 0.485 Li
0.015 0.015 0.015 Li
0.750 0.750 0.750 Se
0.250 0.250 0.250 Sb
```


Record 6
Density functional theory data (PBE) for a relaxed Li5SbSe6 crystal.

## Properties
Its mass density is 4.33 g cm⁻³. As for the total energy: -42.89 eV per cell. The energy above the most stable polymorph in this dataset comes out at 0.028 eV/atom. The space-group type is C2/m (12). The formation energy from raw total energies comes out at -0.691 eV/atom.

Structure (POSCAR):
```
Li5SbSe6
1.0
-6.739 -2.038 -0.323
-0.108 -6.387 -0.269
-0.253 -3.427 5.489
Se Li Sb
6 5 1
direct
0.752 0.081 0.329 Se
0.248 0.919 0.671 Se
0.235 0.259 0.000 Se
0.752 0.410 0.671 Se
0.248 0.590 0.329 Se
0.765 0.741 0.000 Se
0.000 0.670 0.659 Li
0.500 0.147 0.707 Li
0.500 0.500 0.000 Li
0.500 0.853 0.293 Li
0.000 0.330 0.341 Li
0.000 0.000 0.000 Sb
```


Record 7
Density functional theory data (PBE) for a relaxed Li2SbSe crystal.

## Properties
Its mass density is 4.12 g cm⁻³. As for the total energy: -12.23 eV per cell. The energy above the most stable polymorph in this dataset comes out at 0.426 eV/atom. The space-group type is F-43m (216). The formation energy from raw total energies comes out at -0.198 eV/atom.

Structure (POSCAR):
```
Li2SbSe
1.0
-1.038 4.182 -2.466
-3.688 2.943 1.545
1.030 4.407 2.042
Li Se Sb
2 1 1
direct
0.750 0.750 0.750 Li
0.000 0.000 0.000 Li
0.250 0.250 0.250 Se
0.500 0.500 0.500 Sb
```


Record 8
Density functional theory data (PBE) for a relaxed LiSnSbSe3 crystal.

## Properties
Its mass density is 5.11 g cm⁻³. As for the total energy: -47.11 eV per cell. The space-group type is P2_1/m (11). The formation energy from raw total energies comes out at -0.510 eV/atom.

Structure (POSCAR):
```
LiSnSbSe3
1.0
4.057 0.000 0.000
0.000 8.741 0.426
0.000 -1.866 8.789
Se Li Sb Sn
6 2 2 2
direct
0.750 0.888 0.119 Se
0.750 0.418 0.168 Se
0.750 0.218 0.503 Se
0.250 0.582 0.832 Se
0.250 0.112 0.881 Se
0.250 0.782 0.497 Se
0.250 0.079 0.595 Li
0.750 0.921 0.405 Li
0.750 0.323 0.859 Sb
0.250 0.677 0.141 Sb
0.750 0.800 0.741 Sn
0.250 0.200 0.259 Sn
```


Record 9
Density functional theory data (PBE) for a relaxed LiSnSb2Se4 crystal.

## Properties
Its mass density is 5.53 g cm⁻³. As for the total energy: -31.26 eV per cell. The space-group type is P2/m (10). The formation energy from raw total energies comes out at -0.396 eV/atom.

Structure (POSCAR):
```
LiSnSb2Se4
1.0
-3.022 -3.165 0.581
2.110 -3.126 -6.053
3.582 -2.400 5.554
Se Li Sb Sn
4 1 2 1
direct
0.500 0.246 0.253 Se
0.000 0.245 0.745 Se
0.000 0.755 0.255 Se
0.500 0.754 0.747 Se
0.000 0.000 0.000 Li
0.000 0.500 0.500 Sb
0.500 0.000 0.500 Sb
0.500 0.500 0.000 Sn
```


Record 10
Density functional theory data (PBE) for a relaxed SrLiSb2Se4 crystal.

## Properties
Its mass density is 5.13 g cm⁻³. As for the total energy: -64.19 eV per cell. The space-group type is Cmcm (63). The formation energy from raw total energies comes out at -0.789 eV/atom.

Structure (POSCAR):
```
SrLiSb2Se4
1.0
4.458 0.000 0.000
-2.229 6.735 0.000
0.000 0.000 14.109
Se Sb Sr Li
8 4 2 2
direct
0.000 0.000 0.000 Se
0.544 0.089 0.250 Se
0.456 0.911 0.750 Se
0.269 0.538 0.117 Se
0.269 0.538 0.383 Se
0.731 0.462 0.883 Se
0.731 0.462 0.617 Se
0.000 0.000 0.500 Se
0.626 0.253 0.053 Sb
0.374 0.747 0.947 Sb
0.374 0.747 0.553 Sb
0.626 0.253 0.447 Sb
0.123 0.245 0.750 Sr
0.877 0.755 0.250 Sr
0.138 0.276 0.250 Li
0.862 0.724 0.750 Li
```


Record 11
Density functional theory data (PBE) for a relaxed Li2SbTeSe4 crystal.

## Properties
Its mass density is 4.95 g cm⁻³. As for the total energy: -57.89 eV per cell. The space-group type is C2/c (15). The formation energy from raw total energies comes out at -0.490 eV/atom.

Structure (POSCAR):
```
Li2SbTeSe4
1.0
-0.477 -0.952 -7.925
-4.018 -6.844 0.972
-3.152 6.701 3.184
Li Se Sb Te
4 8 2 2
direct
0.000 0.000 0.500 Li
0.500 0.500 0.000 Li
0.500 0.000 0.500 Li
0.500 0.000 0.000 Li
0.755 0.256 0.522 Se
0.245 0.744 0.478 Se
0.714 0.724 0.449 Se
0.756 0.255 0.022 Se
0.224 0.214 0.949 Se
0.244 0.745 0.978 Se
0.286 0.276 0.551 Se
0.776 0.786 0.051 Se
0.000 0.500 0.500 Sb
0.000 0.500 0.000 Sb
0.000 0.000 0.000 Te
0.500 0.500 0.500 Te
```


Record 12
Density functional theory data (PBE) for a relaxed LiSbTe2Se crystal.

## Properties
Its mass density is 5.99 g cm⁻³. As for the total energy: -13.97 eV per cell. The energy above the most stable polymorph in this dataset comes out at 0.101 eV/atom. The space-group type is P4/mmm (123). The formation energy from raw total energies comes out at 0.367 eV/atom.

Structure (POSCAR):
```
LiSbTe2Se
1.0
4.910 0.000 0.000
0.000 4.910 0.000
0.000 0.000 5.319
Sb Te Se Li
1 2 1 1
direct
0.000 0.000 0.500 Sb
0.500 0.000 0.000 Te
0.000 0.500 0.000 Te
0.500 0.500 0.500 Se
0.000 0.000 0.000 Li
```